Compound: Tl5V2F12
Source: Alexandria
Functional: PBE+U
Structure: optimized geometry

**Energy above the most stable polymorph in this dataset**: 10 meV/atom
**DOS at the Fermi energy**: 2.65 states/eV/cell
**Magnetic moment**: 0.260 μB per atom
**Energy**: -91.209 eV/cell

Cell: 6.4025 7.6099 8.3135 Å, 84.67 90.00 114.88°
Each line ends with the local moment (μB).
Positions (direct):
Tl  0.2850  0.5700  0.8016  0.01
Tl  0.2970  0.5939  0.3489  0.02
Tl  0.0000  0.0000  0.5000  0.32
Tl  0.7030  0.4061  0.6511  0.02
Tl  0.7150  0.4300  0.1984  0.01
V  0.7508  0.0000  0.0000  1.92
V  0.2492  0.0000  0.0000  1.92
F  0.9971  0.9942  0.1551  0.01
F  0.1122  0.7221  0.0202  0.00
F  0.6100  0.7221  0.0202  0.00
F  0.1009  0.7323  0.5385  0.10
F  0.6313  0.7323  0.5385  0.10
F  0.4994  0.9987  0.8471  0.00
F  0.5006  0.0013  0.1529  0.00
F  0.8991  0.2677  0.4615  0.10
F  0.3687  0.2677  0.4615  0.10
F  0.8878  0.2779  0.9798  0.00
F  0.3900  0.2779  0.9798  0.00
F  0.0029  0.0058  0.8449  0.01